## Sc2ZnNi (PBEsol)

Data for a relaxed structure of Sc2ZnNi.

a = 3.2018 Å, b = 3.2018 Å, c = 6.4689 Å
α = 90.00°, β = 90.00°, γ = 90.00°
Last column: nearest neighbours and their distance in Å.
Positions (direct):
Sc (0.0000, 0.0000, 0.7328)  4 Ni 2.72, 4 Zn 2.85, 1 Sc 3.01
Sc (0.0000, 0.0000, 0.2672)  4 Ni 2.72, 4 Zn 2.85, 1 Sc 3.01
Ni (0.5000, 0.5000, 0.5000)  8 Sc 2.72
Zn (0.5000, 0.5000, 0.0000)  8 Sc 2.85

The calculation puts the calculated volume at 16.58 A^3/atom. Its total energy is -5.68 eV/atom. Its space-group type is P4/mmm. The calculated formation energy is -0.443 eV per atom.

## BaMgZr4 (PBEsol)

Data for a relaxed structure of BaMgZr4.

a = 6.0504 Å, b = 6.0504 Å, c = 6.0504 Å
α = 60.00°, β = 60.00°, γ = 60.00°
Last column: nearest neighbours and their distance in Å.
Positions (direct):
Ba (0.7500, 0.7500, 0.7500)  12 Zr 3.55, 4 Mg 3.71
Mg (0.0000, 0.0000, 0.0000)  12 Zr 3.55, 4 Ba 3.71
Zr (0.3743, 0.3743, 0.3743)  6 Zr 3.01-3.04
Zr (0.3743, 0.3743, 0.8770)  6 Zr 3.01-3.04
Zr (0.8770, 0.3743, 0.3743)  6 Zr 3.01-3.04
Zr (0.3743, 0.8770, 0.3743)  6 Zr 3.01-3.04

The calculation puts the calculated volume at 26.10 A^3/atom. Its total energy is -6.22 eV/atom. Its space-group type is F-43m. The calculated formation energy is 0.483 eV per atom.

## PAu2Br (PBEsol)

Data for a relaxed structure of PAu2Br.

a = 4.6930 Å, b = 4.6930 Å, c = 4.6930 Å
α = 60.00°, β = 60.00°, γ = 60.00°
Last column: nearest neighbours and their distance in Å.
Positions (direct):
Au (0.0000, 0.0000, 0.0000)  4 P 2.87, 4 Au 2.87
Au (0.7500, 0.7500, 0.7500)  4 Au 2.87, 4 Br 2.87
Br (0.5000, 0.5000, 0.5000)  4 Au 2.87, 4 P 2.87
P (0.2500, 0.2500, 0.2500)  4 Br 2.87, 4 Au 2.87

For the formation energy (no corrections), the calculation gives 693 meV per atom. The calculation puts the calculated volume at 18.27 A^3/atom. Its total energy is -3.18 eV/atom. Its offset from the most stable computed form is 2.26 eV per formula unit. Its space-group type is F-43m.

## CdHIN2 (PBEsol)

Data for a relaxed structure of CdHIN2.

a = 4.1680 Å, b = 4.1680 Å, c = 6.3604 Å
α = 90.00°, β = 90.00°, γ = 90.00°
Last column: nearest neighbours and their distance in Å.
Positions (direct):
I (0.0000, 0.0000, 0.5000)  4 H 2.95, 2 Cd 3.18
H (0.5000, 0.5000, 0.5000)  4 I 2.95
N (0.0000, 0.5000, 0.0000)  2 Cd 2.08
N (0.5000, 0.0000, 0.0000)  2 Cd 2.08
Cd (0.0000, 0.0000, 0.0000)  4 N 2.08

The calculation puts the calculated volume at 22.10 A^3/atom. Its total energy is -2.66 eV/atom. Its space-group type is P4/mmm.

## Na2MnO2 (PBEsol)

Data for a relaxed structure of Na2MnO2.

a = 5.6991 Å, b = 5.9292 Å, c = 5.7138 Å
α = 118.81°, β = 90.00°, γ = 118.72°
Last column: nearest neighbours and their distance in Å.
Positions (direct):
Na (0.3439, 0.6879, 0.4461)  3 O 2.29-2.39
Na (0.8440, 0.6879, 0.2418)  3 O 2.29-2.39
Na (0.1560, 0.3121, 0.7582)  3 O 2.29-2.39
Na (0.6561, 0.3121, 0.5539)  3 O 2.29-2.39
Mn (0.2500, 0.0000, 0.0000)  4 O 2.03
Mn (0.7500, 0.0000, 0.0000)  4 O 2.03
O (0.9093, 0.8186, 0.6979)  2 Mn 2.03
O (0.5907, 0.1814, 0.8794)  2 Mn 2.03
O (0.4093, 0.8186, 0.1206)  2 Mn 2.03
O (0.0907, 0.1814, 0.3021)  2 Mn 2.03

For the formation energy (no corrections), the calculation gives -1221 meV per atom. The calculation puts the calculated volume at 14.15 A^3/atom. Its total energy is -5.83 eV/atom. Its space-group type is Ibam.

## Sc2TaTe (PBEsol)

Data for a relaxed structure of Sc2TaTe.

a = 3.3372 Å, b = 3.3372 Å, c = 9.1766 Å
α = 79.52°, β = 79.52°, γ = 60.00°
Last column: nearest neighbours and their distance in Å.
Positions (direct):
Sc (0.2513, 0.2513, 0.2461)  3 Te 2.93, 3 Ta 2.98
Sc (0.7487, 0.7487, 0.7539)  3 Te 2.93, 3 Ta 2.98
Ta (0.5000, 0.5000, 0.5000)  6 Sc 2.98, 6 Ta 3.34
Te (0.0000, 0.0000, 0.0000)  6 Sc 2.93

For the formation energy (no corrections), the calculation gives -157 meV per atom. The calculation puts the calculated volume at 21.63 A^3/atom. Its total energy is -7.48 eV/atom. Its offset from the most stable computed form is 0.13 eV per formula unit. Its space-group type is R-3m.